A plane-wave DFT calculation with GGA-PBE was carried out for Al2TcTe after structural relaxation.

Cell and atoms, written as CIF:
```
data_Al2TcTe
_space_group_name_H-M_alt 'I -4 2 d'
_space_group_IT_number 122
_space_group_name_Hall 'I -4 2bw'
_cell_length_a 6.2361
_cell_length_b 6.2361
_cell_length_c 11.2907
_cell_angle_alpha 90.00
_cell_angle_beta 90.00
_cell_angle_gamma 90.00
loop_
_atom_site_label
_atom_site_fract_x
_atom_site_fract_y
_atom_site_fract_z
Al1 0.2141 0.2500 0.1250
Tc1 0.0000 0.0000 0.0000
Te1 0.0000 0.0000 0.5000
```

Values from the calculation:
Fermi-level density of states = 11.068 states/eV per cell
total DFT energy (no corrections) = -4.560 eV per atom